Record 1
Tm4AgOs PBE relaxed; E = -5.6107 eV per atom; V = 24.7 Å³ per atom
1.0
-5.8051 7.4373 0.0779
-9.3387 -1.3011 -0.3383
-5.2892 1.7765 7.6083
Tm Ag Os
16 4 4
Direct
0.8080 0.1920 0.8080
0.1920 0.8080 0.1920
0.8080 0.1920 0.1920
0.1920 0.8080 0.8080
0.8080 0.8080 0.1920
0.4005 0.4005 0.4005
0.5601 0.9399 0.9399
0.7984 0.4005 0.4005
0.5601 0.5601 0.9399
0.5601 0.9399 0.5601
0.9399 0.9399 0.5601
0.9399 0.5601 0.5601
0.4005 0.7984 0.4005
0.9399 0.5601 0.9399
0.1920 0.1920 0.8080
0.4005 0.4005 0.7984
0.1677 0.1677 0.4970
0.4970 0.1677 0.1677
0.1677 0.4970 0.1677
0.1677 0.1677 0.1677
0.6095 0.1714 0.6095
0.6095 0.6095 0.6095
0.6095 0.6095 0.1714
0.1714 0.6095 0.6095

Record 2
Tm3AgOs PBE relaxed; E = -5.8219 eV per atom; V = 23.7 Å³ per atom
1.0
-1.3773 -4.1198 3.7720
4.2134 -1.5526 -3.5964
3.8757 5.6375 4.9053
Tm Os Ag
6 2 2
Direct
0.6964 0.1963 0.8927
0.3036 0.8037 0.1073
0.7069 0.5749 0.2818
0.2931 0.4251 0.7182
0.9251 0.7931 0.7182
0.0749 0.2069 0.2818
0.7500 0.7500 0.0000
0.2500 0.2500 0.0000
0.7112 0.2112 0.5000
0.2888 0.7888 0.5000

Record 3
Tm2AgOs PBE relaxed; E = -6.0940 eV per atom; V = 20.6 Å³ per atom
1.0
4.8827 0.0000 0.0000
2.4413 4.2285 0.0000
2.4413 1.4095 3.9867
Ag Tm Os
1 2 1
Direct
0.5000 0.5000 0.5000
0.2500 0.2500 0.2500
0.7500 0.7500 0.7500
0.0000 0.0000 0.0000

Record 4
Tm6AgOs PBE relaxed; E = -5.2435 eV per atom; V = 25.8 Å³ per atom
1.0
-1.9250 7.6887 4.6725
-7.6582 4.6099 2.1806
4.5113 -8.0038 -0.4903
Tm Os Ag
6 1 1
Direct
0.7525 0.7525 0.0000
0.4017 0.9017 0.5000
0.2475 0.2475 0.0000
0.0983 0.5983 0.5000
0.9017 0.4017 0.5000
0.5983 0.0983 0.5000
0.0000 0.0000 0.0000
0.5000 0.5000 0.0000

Record 5
Tm5Ag2Os PBE relaxed; E = -5.1610 eV per atom; V = 24.4 Å³ per atom
1.0
-5.2477 4.1625 2.3443
-3.7788 -1.4862 -5.8200
1.3197 -7.4047 5.3605
Ag Tm Os
4 10 2
Direct
0.3690 0.8690 0.0000
0.6310 0.1310 0.0000
0.8690 0.6310 0.0000
0.1310 0.3690 0.0000
0.3335 0.8335 0.3148
0.1665 0.0187 0.6852
0.6665 0.1665 0.6852
0.0000 0.0000 0.0000
0.4813 0.3335 0.3148
0.5000 0.5000 0.0000
0.8335 0.9813 0.3148
0.9813 0.4813 0.3148
0.0187 0.5187 0.6852
0.5187 0.6665 0.6852
0.2500 0.2500 0.5000
0.7500 0.7500 0.5000

Record 6
Tm4AgOs PBE relaxed; E = -5.4887 eV per atom; V = 26.8 Å³ per atom
1.0
-2.9205 2.3505 -3.0151
2.0309 -2.2610 -3.7298
-4.6828 -5.1142 0.5482
Tm Os Ag
4 1 1
Direct
0.5014 0.9976 0.7298
0.5012 0.9970 0.2664
0.0014 0.4975 0.7298
0.0012 0.4971 0.2664
0.0013 0.9972 0.4982
0.5013 0.4973 0.9982

Record 7
Tm4Ag2Os PBE relaxed; E = -5.2023 eV per atom; V = 24.3 Å³ per atom
1.0
4.7217 0.0000 1.4752
2.1304 4.2137 1.4752
-0.0718 -0.0441 8.5238
Tm Os Ag
4 1 2
Direct
0.1201 0.1201 0.6396
0.8799 0.8799 0.3604
0.6288 0.6288 0.1136
0.3712 0.3712 0.8864
0.0000 0.0000 0.0000
0.7515 0.7515 0.7455
0.2485 0.2485 0.2545

Record 8
Tm2AgOs PBE relaxed; E = -5.7348 eV per atom; V = 22.4 Å³ per atom
1.0
-3.1464 -1.3487 0.1361
-0.4038 -3.4012 0.0823
-0.8785 -1.4067 8.8702
Tm Ag Os
2 1 1
Direct
0.2419 0.2419 0.2744
0.7581 0.7581 0.7256
0.0000 0.0000 0.0000
0.5000 0.5000 0.5000